Entry 1:
Computed, not measured: an optimized crystal structure of ZrTaMn2 at the PBE level of DFT.

Unit cell a=5.274 b=5.274 c=4.330 alpha=65.75 beta=65.75 gamma=34.37
Atoms (fractional coordinates):
Mn  0.990  0.990  0.010
Mn  0.256  0.256  0.244
Zr  0.744  0.744  0.756
Ta  0.511  0.511  0.489

Computed properties:
DOS(E_F)   2.6 states/eV per cell

Entry 2:
Computed, not measured: an optimized crystal structure of ScAl2Os at the PBE level of DFT.

Unit cell a=3.084 b=3.084 c=6.976 alpha=90.00 beta=90.00 gamma=90.00
Atoms (fractional coordinates):
Os  0.500  0.500  0.250
Al  0.000  0.000  0.449
Sc  0.500  0.500  0.750
Al  0.000  0.000  0.051

Computed properties:
DOS(E_F)   2.2 states/eV per cell

Entry 3:
Computed, not measured: an optimized crystal structure of NpNi2Ge at the PBE level of DFT.

Unit cell a=4.445 b=4.445 c=4.445 alpha=60.00 beta=60.00 gamma=60.00
Atoms (fractional coordinates):
Ge  0.500  0.500  0.500
Np  0.000  0.000  0.000
Ni  0.250  0.250  0.250
Ni  0.750  0.750  0.750

Computed properties:
DOS(E_F)   8.3 states/eV per cell

Entry 4:
Computed, not measured: an optimized crystal structure of Ti2NiPdAu at the PBE level of DFT.

Unit cell a=4.660 b=4.587 c=4.660 alpha=90.00 beta=90.00 gamma=90.00
Atoms (fractional coordinates):
Pd  0.000  0.000  0.000
Ti  0.500  0.000  0.000
Ti  0.000  0.000  0.500
Au  0.500  0.500  0.500
Ni  0.000  0.500  0.000

Computed properties:
DOS(E_F)   6.2 states/eV per cell

Per-record ρ, g cm⁻³: 10.33, 7.24, 11.42, 7.63
Per-record formation energy from the elements, eV/atom: 0.047, -0.431, -0.116, 0.606
Per-record DFT total energy, eV per atom: -9.64, -6.69, -7.40, -5.40